# K2RbAlF6 | Alexandria | GGA-PBEsol | optimized geometry
data_K2RbAlF6
_chemical_formula_sum 'K8 Rb4 Al4 F24'
_cell_length_a 8.772
_cell_length_b 8.772
_cell_length_c 8.772
_cell_angle_alpha 90.00
_cell_angle_beta 90.00
_cell_angle_gamma 90.00
_space_group_name_H-M_alt 'F m -3 m'
_space_group_IT_number 225
_space_group_name_Hall '-F 4 2 3'
loop_
_atom_site_label
_atom_site_type_symbol
_atom_site_fract_x
_atom_site_fract_y
_atom_site_fract_z
_atom_site_occupancy
K1 K 0.250 0.250 0.250 1
Rb1 Rb 0.000 0.000 0.000 1
Al1 Al 0.000 0.000 0.500 1
F1 F 0.000 0.000 0.293 1
# DFT total energy (eV for the cell shown): -201.27
# Total moment (μB per formula unit): 0.0
# V (Å³ per atom): 16.9